Compound: BeZnRu3
Source: Alexandria
Functional: PBE
Structure: relaxed

Cell: 4.4935 4.4935 4.4935 Å, 90.00 90.00 90.00°
Last column: nearest neighbours and their distance in Å.
Positions (direct):
Be 0.5000 0.5000 0.5000  12 Ru 3.18
Ru 0.0000 0.0000 0.5000  2 Zn 2.25
Ru 0.5000 0.0000 0.0000  2 Zn 2.25
Ru 0.0000 0.5000 0.0000  2 Zn 2.25
Zn 0.0000 0.0000 0.0000  6 Ru 2.25

- offset from the most stable computed form (meV/atom) = 1275
- Fermi-level density of states (states/eV/cell) = 7.4
- E_form (eV/f.u.) = 9.142